This record from Alexandria describes a relaxed structure of DySn4. The functional is PBE.

```
10
Lattice="4.404 0.000 -1.286 -0.719 5.910 -2.460 0.501 0.670 9.897" Properties=species:S:1:pos:R:3 pbc="T T T"
Sn 1.089 5.157 3.729
Sn 2.746 4.313 1.218
Sn 3.910 4.397 5.205
Sn 2.202 0.000 -0.643
Sn 1.441 2.267 4.933
Sn 3.097 1.422 2.421
Sn 1.843 2.955 -1.873
Sn 0.276 2.183 0.946
Dy 4.305 1.498 6.557
Dy -0.119 5.082 -0.407
```

Computed properties:
N(E_F): 2.3 states/eV/f.u.
energy above the most stable polymorph in this dataset: 0 meV/atom
crystal system: orthorhombic
volume: 269.3 Å³/cell
space-group type: Imma (74)
raw total energy: -4.43 eV per atom

=====

This record from Alexandria describes a relaxed structure of Mg5Bi2P. The functional is PBE.

```
32
Lattice="-1.711 -3.003 -3.114 -5.336 -4.343 7.119 -14.437 11.913 -3.553" Properties=species:S:1:pos:R:3 pbc="T T T"
Bi -9.482 1.334 -1.287
Bi -7.492 -0.354 2.721
Bi -13.992 4.922 -2.269
Bi -14.633 9.778 -3.124
Bi -4.543 1.585 -0.769
Bi -6.851 -5.210 3.576
Bi -16.941 2.983 1.222
Bi -12.002 3.234 1.740
Mg -15.475 5.737 1.235
Mg -14.653 3.275 3.157
Mg -18.894 7.130 1.771
Mg -14.300 2.921 -0.170
Mg -7.435 -2.518 4.776
Mg -2.840 -2.236 1.980
Mg -9.881 -2.347 2.480
Mg -14.601 7.605 -1.046
Mg -14.049 7.086 -4.324
Mg -18.644 6.804 -1.527
Mg -11.557 0.464 0.691
Mg -7.183 1.647 0.622
Mg -6.882 -3.037 1.499
Mg -6.831 1.293 -2.705
Mg -2.590 -2.562 -1.318
Mg -9.927 4.103 -0.239
Mg -12.144 1.068 3.906
Mg -9.340 3.500 -3.454
Mg -6.009 -1.169 -0.783
Mg -11.603 6.914 -2.028
P -16.915 7.667 0.165
P -4.569 -3.099 0.287
P -12.226 -1.153 2.619
P -9.258 5.721 -2.166
```

Computed properties:
N(E_F): 1.2 states/eV/f.u.
crystal system: orthorhombic
volume: 877.4 Å³/cell
space-group type: Pnma (62)
raw total energy: -2.91 eV per atom

=====

This record from Alexandria describes a relaxed structure of K2MgCdCu. The functional is PBE.

```
5
Lattice="6.679 0.000 0.000 0.000 5.330 0.000 0.000 0.000 6.679" Properties=species:S:1:pos:R:3 pbc="T T T"
K 3.339 0.000 0.000
K 0.000 0.000 3.339
Mg 0.000 0.000 0.000
Cu 3.339 2.665 3.339
Cd 0.000 2.665 0.000
```

Computed properties:
N(E_F): 3.2 states/eV/f.u.
crystal system: tetragonal
volume: 237.8 Å³/cell
space-group type: P4/mmm (123)
raw total energy: -1.19 eV per atom

=====

This record from Alexandria describes a relaxed structure of USnSe4. The functional is PBE.

```
12
Lattice="6.861 0.000 0.144 0.000 6.916 0.000 0.037 0.000 7.022" Properties=species:S:1:pos:R:3 pbc="T T T"
Sn 0.019 3.458 3.511
Sn 3.449 0.000 3.583
Se 4.575 1.091 6.125
Se 4.316 4.384 4.741
Se 6.013 0.927 2.497
Se 5.754 4.548 1.113
Se 0.886 5.989 4.669
Se 2.582 2.531 2.425
Se 2.323 5.825 1.041
Se 1.144 2.367 6.053
U 0.000 0.000 0.000
U 3.431 3.458 0.072
```

Computed properties:
N(E_F): 3.4 states/eV/f.u.
energy above the most stable polymorph in this dataset: 117 meV/atom
crystal system: monoclinic
formation energy from raw total energies: -618 meV per atom
volume: 333.1 Å³/cell
space-group type: P2_1/c (14)
raw total energy: -5.49 eV per atom

=====

This record from Alexandria describes a relaxed structure of K2NaCd16. The functional is PBE.

```
19
Lattice="7.851 0.033 0.922 0.824 7.808 0.922 0.037 0.033 7.905" Properties=species:S:1:pos:R:3 pbc="T T T"
Cd 5.787 2.363 8.807
Cd 3.097 2.799 7.296
Cd 8.422 5.519 3.903
Cd 5.604 5.065 2.401
Cd 0.412 3.864 0.461
Cd 6.340 7.824 3.903
Cd 0.023 0.021 3.913
Cd 2.934 5.519 8.807
Cd 6.903 2.799 3.895
Cd 0.998 0.902 1.117
Cd 3.480 6.586 3.895
Cd 3.168 7.824 6.737
Cd 3.886 0.021 0.461
Cd 1.758 5.065 5.838
Cd 8.103 2.363 6.737
Cd 5.216 1.238 5.838
K 5.733 5.182 6.415
K 2.999 2.710 3.356
Na 7.895 7.136 8.836
```

Computed properties:
N(E_F): 7.1 states/eV/f.u.
crystal system: trigonal
volume: 483.9 Å³/cell
space-group type: R3m (160)
raw total energy: -1.02 eV per atom

=====

This record from Alexandria describes a relaxed structure of ZnReCl2. The functional is PBE.

```
4
Lattice="6.569 0.074 -0.007 4.271 4.992 0.007 -4.928 -3.585 2.453" Properties=species:S:1:pos:R:3 pbc="T T T"
Zn 3.215 2.359 1.230
Cl 10.786 5.040 0.000
Cl 2.670 -0.891 1.223
Re 5.501 2.571 0.000
```

Computed properties:
N(E_F): 2.3 states/eV/f.u.
energy above the most stable polymorph in this dataset: 454 meV/atom
crystal system: orthorhombic
formation energy from raw total energies: 434 meV per atom
volume: 79.8 Å³/cell
space-group type: Imm2 (44)
raw total energy: -3.92 eV per atom

=====

Which of these has the highest raw total energy?
K2NaCd16

=====

Among the records above, which one has the highest N(E_F)?
K2NaCd16

=====

What is the raw total energy in the sixth record?
-3.92 eV per atom